# 1
First-principles (PBE) data for an optimized crystal structure of Ac3TeO3, as listed in Alexandria via LeMat-Bulk.

Structure (POSCAR):
```
Ac3TeO3
1.0
7.3980 0.0000 0.0000
3.6990 6.4069 0.0000
3.6990 2.1356 7.8103
Ac Te O
6 2 6
Direct
0.2276 0.5729 0.2995 Ac
0.9000 0.2276 0.2995 Ac
0.5729 0.9000 0.2995 Ac
0.4271 0.1000 0.7005 Ac
0.1000 0.7724 0.7005 Ac
0.7724 0.4271 0.7005 Ac
0.3334 0.3334 0.9997 Te
0.6666 0.6666 0.0003 Te
0.4650 0.7911 0.6178 O
0.7911 0.1261 0.6178 O
0.1261 0.4650 0.6178 O
0.8739 0.5350 0.3822 O
0.2089 0.8739 0.3822 O
0.5350 0.2089 0.3822 O
```

## Properties
DOS at the Fermi energy, states/eV per cell: 4.05
Energy relative to the lowest polymorph listed for this composition, meV per atom: 0
E_form (uncorrected), eV/atom: -2.81
Calculated volume, Å³/f.u.: 185.1
Calculated total energy, eV/atom: -7.149



# 2
First-principles (PBE) data for an optimized crystal structure of Ac3TeO3, as listed in Alexandria via LeMat-Bulk.

Structure (POSCAR):
```
Ac3TeO3
1.0
-3.3569 -3.4038 -0.6611
-0.0856 1.8449 -9.0637
5.7978 -6.3721 3.3683
Ac Te O
6 2 6
Direct
0.7500 0.7326 0.6773 Ac
0.7500 0.9447 0.2674 Ac
0.2500 0.6773 0.9447 Ac
0.7500 0.3227 0.0553 Ac
0.2500 0.0553 0.7326 Ac
0.2500 0.2674 0.3227 Ac
0.2500 0.6667 0.3333 Te
0.7500 0.3333 0.6667 Te
0.7500 0.0353 0.7965 O
0.7500 0.7611 0.9647 O
0.2500 0.7965 0.7611 O
0.7500 0.2035 0.2389 O
0.2500 0.2389 0.0353 O
0.2500 0.9647 0.2035 O
```

## Properties
DOS at the Fermi energy, states/eV per cell: 6.27
Energy relative to the lowest polymorph listed for this composition, meV per atom: 154
E_form (uncorrected), eV/atom: -2.66
Calculated volume, Å³/f.u.: 178.8
Calculated total energy, eV/atom: -6.994